Entry 1:
DFT (PBE) results for an optimized crystal structure of ZrScNi2Au.

It has space group P4/mmm (No. 123), with a = 4.748 Å, b = 4.748 Å, c = 4.979 Å, α = 90.00°, β = 90.00° and γ = 90.00°. The distinct sites, in fractional coordinates, are Zr at (0.000, 0.000, 0.000), Sc at (0.500, 0.500, 0.000), Ni at (0.000, 0.500, 0.500) and Au at (0.000, 0.000, 0.500).

The calculation puts the spin magnetization at 1.6 μB per formula unit. The total energy comes out at -26.0 eV for the cell shown. The value obtained for the formation energy is 750 meV per atom.

Entry 2:
DFT (PBE) results for an optimized crystal structure of NiAuSe2.

It has space group Imm2 (No. 44), with a = 2.995 Å, b = 4.071 Å, c = 12.005 Å, α = 90.00°, β = 90.00° and γ = 90.00°. The distinct sites, in fractional coordinates, are Ni at (0.000, 0.000, 0.000), Au at (0.000, 0.500, 0.293), Se at (0.000, 0.000, 0.449) and Se at (0.000, 0.500, 0.657).

The calculation puts the spin magnetization at 0.0 μB per formula unit. The total energy comes out at -31.1 eV for the cell shown.

Entry 3:
DFT (PBE) results for an optimized crystal structure of NiAu2Se.

It has space group Cmmm (No. 65), with a = 5.530 Å, b = 8.764 Å, c = 2.815 Å, α = 90.00°, β = 90.00° and γ = 90.00°. The distinct sites, in fractional coordinates, are Ni at (0.000, 0.000, 0.000), Au at (0.250, 0.250, 0.500) and Se at (0.000, 0.500, 0.000).

The calculation puts the spin magnetization at 0.2 μB per formula unit. The total energy comes out at -28.8 eV for the cell shown.

Entry 4:
DFT (PBE) results for an optimized crystal structure of NiAuSe2.

It has space group Cmcm (No. 63), with a = 7.335 Å, b = 7.384 Å, c = 6.341 Å, α = 90.00°, β = 90.00° and γ = 90.00°. The distinct sites, in fractional coordinates, are Ni at (0.000, 0.000, 0.000), Au at (0.000, 0.404, 0.250) and Se at (0.205, 0.105, 0.250).

The calculation puts the spin magnetization at 0.0 μB per formula unit. The total energy comes out at -65.4 eV for the cell shown.

no.,density of states at the Fermi level (states/eV/f.u.)
1,7.63
2,3.32
3,3.60
4,1.64